(1)
# Li2AcYCd4 (PBE-GGA, relaxed)
# Mass density = 6.32 g/cm³
# Uncorrected energy = -2.498 eV/atom
data_Li2AcYCd4
_chemical_formula_sum 'Li6 Ac3 Y3 Cd12'
_symmetry_space_group_name_H-M 'R -3 m'
_symmetry_Int_Tables_number 166
_symmetry_space_group_name_Hall '-R 3 2"'
_cell_length_a 5.0156
_cell_length_b 5.0156
_cell_length_c 28.1813
_cell_angle_alpha 90.00
_cell_angle_beta 90.00
_cell_angle_gamma 120.00
loop_
_atom_site_label
_atom_site_type_symbol
_atom_site_fract_x
_atom_site_fract_y
_atom_site_fract_z
Li1 Li 0.0000 0.0000 0.2380
Ac1 Ac 0.0000 0.0000 0.0000
Y1 Y 0.0000 0.0000 0.5000
Cd1 Cd 0.0000 0.0000 0.1223
Cd2 Cd 0.0000 0.0000 0.3931

(2)
# LiAcZn3Cd (PBE-GGA, relaxed)
# Mass density = 6.98 g/cm³
# Uncorrected energy = -1.911 eV/atom
data_LiAcZn3Cd
_chemical_formula_sum 'Li4 Ac4 Zn12 Cd4'
_symmetry_space_group_name_H-M 'C m c m'
_symmetry_Int_Tables_number 63
_symmetry_space_group_name_Hall '-C 2c 2'
_cell_length_a 6.2462
_cell_length_b 12.9172
_cell_length_c 6.4029
_cell_angle_alpha 90.00
_cell_angle_beta 90.00
_cell_angle_gamma 90.00
loop_
_atom_site_label
_atom_site_type_symbol
_atom_site_fract_x
_atom_site_fract_y
_atom_site_fract_z
Li1 Li 0.0000 0.0657 0.2500
Ac1 Ac 0.0000 0.2974 0.2500
Zn1 Zn 0.0000 0.1270 0.7500
Zn2 Zn 0.2191 0.5000 0.0000
Cd1 Cd 0.0000 0.3529 0.7500